ZnSi17Ge13P: optimized geometry, PBE-GGA.

abc: 5.585 3.937 31.518
angles: 90.00 90.02 90.00
Fractional positions:
Zn (0.000, 0.000, 0.000)
Si (0.010, 0.000, 0.748)
Si (0.011, 0.000, 0.502)
Si (0.012, 0.000, 0.249)
Si (0.023, 0.000, 0.625)
Si (0.265, 0.500, 0.626)
Si (0.270, 0.500, 0.127)
Si (0.274, 0.500, 0.377)
Si (0.519, 0.500, 0.686)
Si (0.521, 0.500, 0.438)
Si (0.523, 0.500, 0.187)
Si (0.529, 0.500, 0.938)
Si (0.762, 0.000, 0.188)
Si (0.762, 0.000, 0.440)
Si (0.763, 0.000, 0.686)
Si (0.763, 0.000, 0.937)
Si (0.774, 0.000, 0.064)
Si (0.774, 0.000, 0.810)
Ge (0.009, 0.000, 0.874)
Ge (0.020, 0.000, 0.127)
Ge (0.023, 0.000, 0.378)
Ge (0.262, 0.500, 0.248)
Ge (0.263, 0.500, 0.500)
Ge (0.263, 0.500, 0.748)
Ge (0.272, 0.500, 0.876)
Ge (0.277, 0.500, 0.000)
Ge (0.511, 0.500, 0.313)
Ge (0.524, 0.500, 0.812)
Ge (0.526, 0.500, 0.065)
Ge (0.527, 0.500, 0.564)
Ge (0.774, 0.000, 0.313)
P (0.786, 0.000, 0.564)

Crystal system ... monoclinic
Density ... 3.638 g/cm3
Relative energy among the computed polymorphs ... 42 meV per atom



TmFeCoP2: optimized geometry, PBE-GGA.

abc: 3.771 3.771 9.397
angles: 90.00 90.00 90.00
Fractional positions:
Tm (0.000, 0.000, 0.000)
Tm (0.500, 0.500, 0.500)
Fe (0.000, 0.500, 0.750)
Fe (0.500, 0.000, 0.250)
Co (0.000, 0.500, 0.250)
Co (0.500, 0.000, 0.750)
P (0.000, 0.000, 0.375)
P (0.000, 0.000, 0.625)
P (0.500, 0.500, 0.125)
P (0.500, 0.500, 0.875)

Crystal system ... tetragonal
Density ... 8.590 g/cm3
E ... -7.1456 eV/atom



AcNdPa: optimized geometry, PBE-GGA.

abc: 7.719 7.719 7.719
angles: 90.00 90.00 90.00
Fractional positions:
Ac (0.000, 0.000, 0.000)
Ac (0.000, 0.500, 0.500)
Ac (0.500, 0.000, 0.500)
Ac (0.500, 0.500, 0.000)
Nd (0.250, 0.250, 0.750)
Nd (0.250, 0.750, 0.250)
Nd (0.750, 0.250, 0.250)
Nd (0.750, 0.750, 0.750)
Pa (0.000, 0.000, 0.500)
Pa (0.000, 0.500, 0.000)
Pa (0.500, 0.000, 0.000)
Pa (0.500, 0.500, 0.500)

Crystal system ... cubic
Density ... 8.697 g/cm3
Formation energy from the elements ... 1.094 eV/atom
Relative energy among the computed polymorphs ... 0 meV per atom



Sr2NdPt9: optimized geometry, PBE-GGA.

abc: 9.527 9.527 9.527
angles: 33.33 33.33 33.33
Fractional positions:
Sr (0.142, 0.142, 0.142)
Sr (0.858, 0.858, 0.858)
Nd (0.000, 0.000, 0.000)
Pt (0.081, 0.584, 0.584)
Pt (0.333, 0.333, 0.333)
Pt (0.416, 0.416, 0.919)
Pt (0.416, 0.919, 0.416)
Pt (0.500, 0.500, 0.500)
Pt (0.584, 0.081, 0.584)
Pt (0.584, 0.584, 0.081)
Pt (0.667, 0.667, 0.667)
Pt (0.919, 0.416, 0.416)

Crystal system ... trigonal
Density ... 14.826 g/cm3
E ... -5.9869 eV/atom



Fe4Co2SiSn: optimized geometry, PBE-GGA.

abc: 4.049 4.049 5.860
angles: 90.00 90.00 90.00
Fractional positions:
Fe (0.000, 0.000, 0.000)
Fe (0.000, 0.500, 0.230)
Fe (0.500, 0.000, 0.770)
Fe (0.500, 0.500, 0.500)
Co (0.000, 0.500, 0.769)
Co (0.500, 0.000, 0.231)
Si (0.500, 0.500, 0.000)
Sn (0.000, 0.000, 0.500)

Crystal system ... tetragonal
Density ... 8.437 g/cm3
E ... -7.2638 eV/atom



Zr3Cu2As4Pd2: optimized geometry, PBE-GGA.

abc: 6.595 3.917 7.661
angles: 90.00 90.52 90.00
Fractional positions:
Zr (0.000, 0.000, 0.000)
Zr (0.073, 0.500, 0.358)
Zr (0.504, 0.000, 0.864)
Cu (0.166, 0.500, 0.733)
Cu (0.907, 0.000, 0.616)
As (0.293, 0.000, 0.565)
As (0.294, 0.500, 0.043)
As (0.778, 0.000, 0.318)
As (0.790, 0.500, 0.786)
Pd (0.390, 0.000, 0.251)
Pd (0.691, 0.500, 0.122)

Crystal system ... monoclinic
Density ... 7.663 g/cm3
E ... -6.3348 eV/atom



DyReO5: optimized geometry, PBE-GGA.

abc: 5.460 5.460 7.495
angles: 110.18 110.18 70.78
Fractional positions:
Dy (0.051, 0.949, 0.750)
Dy (0.949, 0.051, 0.250)
Re (0.500, 0.500, 0.000)
Re (0.500, 0.500, 0.500)
O (0.195, 0.779, 0.038)
O (0.221, 0.805, 0.462)
O (0.255, 0.293, 0.383)
O (0.293, 0.255, 0.883)
O (0.425, 0.575, 0.750)
O (0.575, 0.425, 0.250)
O (0.707, 0.745, 0.117)
O (0.745, 0.707, 0.617)
O (0.779, 0.195, 0.538)
O (0.805, 0.221, 0.962)

Crystal system ... monoclinic
Density ... 7.448 g/cm3
E ... -8.2129 eV/atom



HfFeAsAu: optimized geometry, PBE-GGA.

abc: 6.471 6.471 6.471
angles: 90.00 90.00 90.00
Fractional positions:
Hf (0.000, 0.000, 0.000)
Hf (0.000, 0.500, 0.500)
Hf (0.500, 0.000, 0.500)
Hf (0.500, 0.500, 0.000)
Fe (0.000, 0.000, 0.500)
Fe (0.000, 0.500, 0.000)
Fe (0.500, 0.000, 0.000)
Fe (0.500, 0.500, 0.500)
As (0.250, 0.250, 0.250)
As (0.250, 0.750, 0.750)
As (0.750, 0.250, 0.750)
As (0.750, 0.750, 0.250)
Au (0.250, 0.250, 0.750)
Au (0.250, 0.750, 0.250)
Au (0.750, 0.250, 0.250)
Au (0.750, 0.750, 0.750)

Crystal system ... cubic
Density ... 12.409 g/cm3
Relative energy among the computed polymorphs ... 0 meV per atom



NbBiN2O: optimized geometry, PBE-GGA.

abc: 5.642 5.642 5.746
angles: 118.69 118.69 90.97
Fractional positions:
Nb (0.000, 0.500, 0.000)
Nb (0.500, 0.000, 0.000)
Bi (0.247, 0.247, 0.546)
Bi (0.753, 0.753, 0.454)
N (0.215, 0.785, 0.500)
N (0.339, 0.339, 0.039)
N (0.661, 0.661, 0.961)
N (0.785, 0.215, 0.500)
O (0.189, 0.811, 0.000)
O (0.811, 0.189, 0.000)

Crystal system ... monoclinic
Density ... 8.619 g/cm3
E ... -7.7677 eV/atom



BaAsAu: optimized geometry, PBE-GGA.

abc: 5.436 5.436 6.567
angles: 90.00 90.00 120.00
Fractional positions:
Ba (0.333, 0.667, 0.250)
Ba (0.667, 0.333, 0.750)
As (0.333, 0.667, 0.750)
As (0.667, 0.333, 0.250)
Au (0.000, 0.000, 0.000)
Au (0.000, 0.000, 0.500)

Crystal system ... hexagonal
Density ... 8.086 g/cm3
E ... -3.6437 eV/atom



LaYCu2Ge2: optimized geometry, PBE-GGA.

abc: 4.269 4.269 7.833
angles: 90.00 90.00 120.00
Fractional positions:
La (0.000, 0.000, 0.000)
Y (0.000, 0.000, 0.500)
Cu (0.333, 0.667, 0.730)
Cu (0.667, 0.333, 0.270)
Ge (0.333, 0.667, 0.264)
Ge (0.667, 0.333, 0.736)

Crystal system ... trigonal
Density ... 6.720 g/cm3
E ... -5.3695 eV/atom



SmYC2: optimized geometry, PBE-GGA.

abc: 4.040 5.831 6.823
angles: 90.00 90.00 90.00
Fractional positions:
Sm (0.000, 0.000, 0.000)
Sm (0.000, 0.500, 0.500)
Y (0.500, 0.000, 0.546)
Y (0.500, 0.500, 0.046)
C (0.000, 0.118, 0.357)
C (0.000, 0.382, 0.857)
C (0.000, 0.618, 0.857)
C (0.000, 0.882, 0.357)

Crystal system ... orthorhombic
Density ... 5.440 g/cm3
E ... -7.3432 eV/atom